5
Lattice="4.5843 0.0000 0.0000 0.0000 4.5843 0.0000 2.2922 2.2922 5.5923" Properties=species:S:1:pos:R:3 comment="SrSc2Cu2 | Alexandria | PBE | optimized geometry" ef_mev_per_atom=-14 magnetic_moment_mub_per_cell=0.000 e_above_lowest_polymorph_ev_per_atom=0.000 pbc="T T T"
Sc 4.5843 2.2922 2.7961
Sc 2.2922 4.5843 2.7961
Sr 0.0000 0.0000 0.0000
Cu 2.2922 2.2922 1.2454
Cu 4.5843 4.5843 4.3469